# La8HoEr4 (PBE, relaxed)
# DOS(E_F) (states/eV/atom): 1.657
# Energy of formation from the pure elements (eV/atom): 0.41
# Uncorrected energy (eV per cell): -170.6
data_La8HoEr4
_chemical_formula_sum 'La24 Ho3 Er12'
_cell_length_a 11.2423
_cell_length_b 11.2423
_cell_length_c 13.7292
_cell_angle_alpha 90.00
_cell_angle_beta 90.00
_cell_angle_gamma 120.00
_space_group_name_H-M_alt 'R -3 m'
_space_group_IT_number 166
_space_group_name_Hall '-R 3 2"'
loop_
_atom_site_label
_atom_site_type_symbol
_atom_site_fract_x
_atom_site_fract_y
_atom_site_fract_z
La1 La 0.0000 0.0000 0.2394
La2 La 0.0137 0.5068 0.7459
Ho1 Ho 0.0000 0.0000 0.5000
Er1 Er 0.0000 0.0000 0.0000
Er2 Er 0.0000 0.5000 0.0000